Record 1
Density functional theory data (GGA-PBE) for a relaxed structure of SnBPt4.

Properties
D(E_F): 0.484 states/eV per atom
Electronic total energy: -0.44883 Ry per atom
Spin magnetization: 0.0 μB per cell
Energy relative to the elements: -0.299 eV/atom

Structure (CIF):
```
data_SnBPt4
_chemical_formula_sum 'Sn2 B2 Pt8'
_cell_length_a 4.532
_cell_length_b 6.263
_cell_length_c 7.188
_cell_angle_alpha 102.32
_cell_angle_beta 107.84
_cell_angle_gamma 90.93
_space_group_name_H-M_alt 'P -1'
_space_group_IT_number 2
loop_
_space_group_symop_operation_xyz
'x,y,z'
'-x,-y,-z'
loop_
_atom_site_label
_atom_site_type_symbol
_atom_site_fract_x
_atom_site_fract_y
_atom_site_fract_z
Sn1 Sn 0.118 0.248 0.478
B1 B 0.000 0.500 0.000
B2 B 0.500 0.000 0.000
Pt1 Pt 0.074 0.157 0.909
Pt2 Pt 0.281 0.575 0.321
Pt3 Pt 0.329 0.646 0.891
Pt4 Pt 0.461 0.962 0.687
```

=====

Record 2
Density functional theory data (GGA-PBE) for a relaxed structure of SnB2Pt.

Properties
D(E_F): 0.254 states/eV per atom
Electronic total energy: -0.41912 Ry per atom
Spin magnetization: 0.0 μB per cell
Energy relative to the elements: 0.147 eV/atom

Structure (CIF):
```
data_SnB2Pt
_chemical_formula_sum 'Sn1 B2 Pt1'
_cell_length_a 3.225
_cell_length_b 4.045
_cell_length_c 5.182
_cell_angle_alpha 90.22
_cell_angle_beta 95.99
_cell_angle_gamma 111.57
_space_group_name_H-M_alt 'P 1'
_space_group_IT_number 1
loop_
_space_group_symop_operation_xyz
'x,y,z'
loop_
_atom_site_label
_atom_site_type_symbol
_atom_site_fract_x
_atom_site_fract_y
_atom_site_fract_z
Sn1 Sn 0.000 0.000 0.000
B1 B 0.336 0.921 0.495
B2 B 0.853 0.944 0.545
Pt1 Pt 0.752 0.426 0.307
```

=====

Record 3
Density functional theory data (GGA-PBE) for a relaxed structure of SnBPt3.

Properties
D(E_F): 1.108 states/eV per atom
Electronic total energy: -0.43045 Ry per atom
Spin magnetization: 0.0 μB per cell
Energy relative to the elements: -0.096 eV/atom

Structure (CIF):
```
data_SnBPt3
_chemical_formula_sum 'Sn1 B1 Pt3'
_cell_length_a 4.311
_cell_length_b 4.311
_cell_length_c 4.311
_cell_angle_alpha 90.00
_cell_angle_beta 90.00
_cell_angle_gamma 90.00
_space_group_name_H-M_alt 'P m -3 m'
_space_group_IT_number 221
_space_group_name_Hall '-P 4 2 3'
loop_
_atom_site_label
_atom_site_type_symbol
_atom_site_fract_x
_atom_site_fract_y
_atom_site_fract_z
Sn1 Sn 0.000 0.000 0.000
B1 B 0.500 0.500 0.500
Pt1 Pt 0.000 0.500 0.500
```